Compound: TiTlF6
Source: Alexandria via LeMat-Bulk
Functional: PBE
Structure: relaxed

a b c (Å): 5.687 5.958 8.247
angles (deg): 90.00 90.23 90.00
Fractional coordinates of all 16 atoms:
1 F 0.841 0.230 0.552
2 F 0.395 0.024 0.782
3 F 0.659 0.730 0.948
4 F 0.727 0.666 0.553
5 F 0.227 0.834 0.053
6 F 0.341 0.270 0.052
7 F 0.773 0.166 0.947
8 F 0.105 0.524 0.718
9 F 0.605 0.976 0.218
10 F 0.159 0.770 0.448
11 F 0.895 0.476 0.282
12 F 0.273 0.334 0.447
13 Tl 0.000 0.500 0.000
14 Tl 0.500 0.000 0.500
15 Ti 0.500 0.000 0.000
16 Ti 0.000 0.500 0.500

For the energy, the calculation gives -5.436 eV per atom. The formation energy (no corrections) is -2.750 eV/atom. Its polymorph energy (0 for the lowest one) is 0.000 eV/f.u.

Compound: Ti3TlF
Source: Alexandria via LeMat-Bulk
Functional: PBE
Structure: relaxed

a b c (Å): 5.258 5.258 5.258
angles (deg): 90.00 90.00 90.00
Last column: magnetic moment on the atom in μB.
Fractional coordinates of all 5 atoms:
1 Ti 0.500 0.000 0.000  1.56
2 Ti 0.000 0.500 0.000  1.48
3 Ti 0.000 0.000 0.500  1.54
4 F 0.500 0.500 0.500  0.06
5 Tl 0.000 0.000 0.000  -0.02

For the energy, the calculation gives -4.538 eV per atom. The formation energy (no corrections) is 1.046 eV/atom. Its polymorph energy (0 for the lowest one) is 7.663 eV/f.u.